Entry 1:
The following is a DFT calculation (GGA-PBE) of an optimized crystal structure of NbReMo3.

a b c (Å): 4.6954 4.6954 4.6954
angles (deg): 90.00 90.00 90.00
With the nearest neighbours (Å) after each atom.
Space group Pm-3m (No. 221)
Asymmetric unit:
Nb1 0.0000 0.0000 0.0000 (multiplicity 1)  12 Mo 3.32
Re1 0.5000 0.5000 0.5000 (multiplicity 1)  6 Mo 2.35
Mo1 0.0000 0.5000 0.5000 (multiplicity 3)  2 Re 2.35

total DFT energy (no corrections): -47.0 eV/cell
polymorph energy (0 for the lowest one): 1655 meV per atom
total moment: 0.00 μB per cell
E_form: 8.0 eV per formula unit
ρ: 9.1 g/cm³


Entry 2:
The following is a DFT calculation (GGA-PBE) of an optimized crystal structure of Nb5Re6Mo.

a b c (Å): 4.5152 6.3931 7.1414
angles (deg): 90.00 108.51 90.00
With the nearest neighbours (Å) after each atom.
Space group P2/m (No. 10)
Asymmetric unit:
Nb1 0.0000 0.0000 0.0000 (multiplicity 1)  8 Re 2.76-2.77
Nb2 0.3337 0.0000 0.6676 (multiplicity 2)  8 Re 2.77-2.79
Nb3 0.3338 0.5000 0.6675 (multiplicity 2)  8 Re 2.75-2.78
Re1 0.1656 0.2513 0.3311 (multiplicity 4)  1 Mo 2.75, 7 Nb 2.76-2.79
Re2 0.5000 0.2522 0.0000 (multiplicity 2)  6 Nb 2.75-2.77, 2 Mo 2.76
Mo1 0.0000 0.5000 0.0000 (multiplicity 1)  8 Re 2.75-2.76

total DFT energy (no corrections): -138.4 eV/cell
total moment: 0.00 μB per cell
E_form: -2.6 eV per formula unit
ρ: 14.3 g/cm³


Entry 3:
The following is a DFT calculation (GGA-PBE) of an optimized crystal structure of Nb4Re2Mo.

a b c (Å): 6.3683 6.3683 6.3122
angles (deg): 90.00 90.00 90.00
With the nearest neighbours (Å) after each atom.
Space group I4/mmm (No. 139)
Asymmetric unit:
Nb1 0.2500 0.2500 0.2500 (multiplicity 8)  2 Mo 2.75, 4 Re 2.75
Re1 0.0000 0.5000 0.0000 (multiplicity 4)  8 Nb 2.75
Mo1 0.0000 0.0000 0.0000 (multiplicity 2)  8 Nb 2.75

total DFT energy (no corrections): -150.9 eV/cell
total moment: 0.00 μB per cell
E_form: 0.5 eV per formula unit
ρ: 10.9 g/cm³


Entry 4:
The following is a DFT calculation (GGA-PBE) of an optimized crystal structure of Nb2Re2Mo3.

a b c (Å): 3.1895 22.9387 3.2102
angles (deg): 90.00 90.00 90.00
With the nearest neighbours (Å) after each atom.
Space group Cmmm (No. 65)
Asymmetric unit:
Nb1 0.0000 0.1407 0.0000 (multiplicity 4)  4 Re 2.72, 4 Mo 2.82
Re1 0.0000 0.2936 0.5000 (multiplicity 4)  2 Re 2.56, 4 Nb 2.72
Mo1 0.0000 0.0000 0.0000 (multiplicity 2)  8 Mo 2.74
Mo2 0.0000 0.4324 0.5000 (multiplicity 4)  4 Mo 2.74, 4 Nb 2.82

total DFT energy (no corrections): -153.1 eV/cell
total moment: 0.00 μB per cell
E_form: 1.0 eV per formula unit
ρ: 12.0 g/cm³


Entry 5:
The following is a DFT calculation (GGA-PBE) of an optimized crystal structure of NbReMo.

a b c (Å): 3.1996 4.4889 13.5604
angles (deg): 90.00 90.00 90.00
With the nearest neighbours (Å) after each atom.
Space group Fmm2 (No. 42)
Asymmetric unit:
Nb1 0.0000 0.0000 0.0000 (multiplicity 4)  4 Nb 2.76, 2 Re 2.79, 2 Mo 2.83
Re1 0.0000 0.0000 0.3316 (multiplicity 4)  2 Mo 2.69, 4 Re 2.76, 2 Nb 2.79
Mo1 0.0000 0.0000 0.6721 (multiplicity 4)  2 Re 2.69, 4 Mo 2.76, 2 Nb 2.83

total DFT energy (no corrections): -134.1 eV/cell
polymorph energy (0 for the lowest one): 104 meV per atom
total moment: 0.00 μB per cell
E_form: -0.2 eV per formula unit
ρ: 12.8 g/cm³


Entry 6:
The following is a DFT calculation (GGA-PBE) of an optimized crystal structure of NbReMo.

a b c (Å): 4.4993 4.4993 2.7724
angles (deg): 90.00 90.00 120.00
With the nearest neighbours (Å) after each atom.
Space group P3m1 (No. 156)
Asymmetric unit:
Nb1 0.0000 0.0000 0.0000 (multiplicity 1)  3 Mo 2.76, 3 Re 2.76, 2 Nb 2.77
Re1 0.6667 0.3333 0.3402 (multiplicity 1)  3 Mo 2.75, 3 Nb 2.76, 2 Re 2.77
Mo1 0.3333 0.6667 0.6617 (multiplicity 1)  3 Re 2.75, 3 Nb 2.76, 2 Mo 2.77

total DFT energy (no corrections): -33.7 eV/cell
polymorph energy (0 for the lowest one): 48 meV per atom
total moment: 0.00 μB per cell
E_form: -0.4 eV per formula unit
ρ: 12.8 g/cm³


Entry 7:
The following is a DFT calculation (GGA-PBE) of an optimized crystal structure of NbReMoRu.

a b c (Å): 6.3200 6.3200 6.3200
angles (deg): 90.00 90.00 90.00
With the nearest neighbours (Å) after each atom.
Space group F-43m (No. 216)
Asymmetric unit:
Nb1 0.0000 0.0000 0.0000 (multiplicity 4)  4 Ru 2.74, 4 Re 2.74
Re1 0.2500 0.2500 0.2500 (multiplicity 4)  4 Nb 2.74, 4 Mo 2.74
Mo1 0.0000 0.0000 0.5000 (multiplicity 4)  4 Re 2.74, 4 Ru 2.74
Ru1 0.2500 0.2500 0.7500 (multiplicity 4)  4 Nb 2.74, 4 Mo 2.74

total DFT energy (no corrections): -170.4 eV/cell
total moment: 0.00 μB per cell
E_form: 0.0 eV per formula unit
ρ: 12.5 g/cm³


Entry 8:
The following is a DFT calculation (GGA-PBE) of an optimized crystal structure of NbRe2SiMo.

a b c (Å): 4.4210 4.4210 4.4233
angles (deg): 90.00 90.00 90.00
With the nearest neighbours (Å) after each atom.
Space group P4/mmm (No. 123)
Asymmetric unit:
Nb1 0.0000 0.0000 0.0000 (multiplicity 1)  4 Mo 3.13, 8 Re 3.13
Re1 0.0000 0.5000 0.5000 (multiplicity 2)  2 Si 2.21
Si1 0.5000 0.5000 0.5000 (multiplicity 1)  4 Re 2.21, 2 Mo 2.21
Mo1 0.5000 0.5000 0.0000 (multiplicity 1)  2 Si 2.21

total DFT energy (no corrections): -47.0 eV/cell
total moment: 0.00 μB per cell
ρ: 11.3 g/cm³


Please write out number 4 again, unchanged.
The following is a DFT calculation (GGA-PBE) of an optimized crystal structure of Nb2Re2Mo3.

a b c (Å): 3.1895 22.9387 3.2102
angles (deg): 90.00 90.00 90.00
With the nearest neighbours (Å) after each atom.
Space group Cmmm (No. 65)
Asymmetric unit:
Nb1 0.0000 0.1407 0.0000 (multiplicity 4)  4 Re 2.72, 4 Mo 2.82
Re1 0.0000 0.2936 0.5000 (multiplicity 4)  2 Re 2.56, 4 Nb 2.72
Mo1 0.0000 0.0000 0.0000 (multiplicity 2)  8 Mo 2.74
Mo2 0.0000 0.4324 0.5000 (multiplicity 4)  4 Mo 2.74, 4 Nb 2.82

total DFT energy (no corrections): -153.1 eV/cell
total moment: 0.00 μB per cell
E_form: 1.0 eV per formula unit
ρ: 12.0 g/cm³